1.
Computed, not measured: a crystal of Zr2CdIn relaxed with PBEsol at the SCAN level of DFT.

Cell lengths 3.106, 5.317, 5.317 Å; angles 108.52, 90.00, 90.00 degrees
Fractional coordinates of all 4 atoms:
Cd 0.500 0.000 0.000
Zr 0.000 0.500 0.000
Zr 0.000 0.000 0.500
In 0.500 0.500 0.500

Results
ΔE_f = -34.3 kJ/mol of atoms
SG = No. 65

2.
Computed, not measured: a crystal of Zr2CdIn relaxed with PBEsol at the SCAN level of DFT.

Cell lengths 4.226, 4.226, 5.601 Å; angles 112.16, 112.16, 90.00 degrees
Fractional coordinates of all 4 atoms:
Cd 0.500 0.500 0.000
Zr 0.000 0.000 0.000
Zr 0.750 0.250 0.500
In 0.250 0.750 0.500

Results
ΔE_f = -23.0 kJ/mol of atoms
SG = No. 119

3.
Computed, not measured: a crystal of Zr2CdIn relaxed with PBEsol at the SCAN level of DFT.

Cell lengths 4.386, 4.331, 4.385 Å; angles 90.00, 90.00, 90.00 degrees
Fractional coordinates of all 4 atoms:
Cd 0.500 0.500 0.000
Zr 0.000 0.000 0.000
Zr 0.500 0.000 0.500
In 0.000 0.500 0.500

Results
ΔE_f = -34.1 kJ/mol of atoms
SG = No. 123

4.
Computed, not measured: a crystal of Cd2Ir relaxed with PBEsol at the SCAN level of DFT.

Cell lengths 2.853, 4.566, 4.566 Å; angles 120.00, 90.00, 90.00 degrees
Fractional coordinates of all 3 atoms:
Ir 0.500 0.000 0.000
Cd 0.000 0.333 0.667
Cd 0.000 0.667 0.333

Results
ΔE_f = 24.0 kJ/mol of atoms
SG = No. 191

5.
Computed, not measured: a crystal of Cd2Ir relaxed with PBEsol at the SCAN level of DFT.

Cell lengths 2.916, 4.683, 7.772 Å; angles 90.00, 100.81, 90.00 degrees
Fractional coordinates of all 6 atoms:
Cd 0.881 0.750 0.762
Cd 0.119 0.250 0.238
Cd 0.435 0.250 0.870
Cd 0.565 0.750 0.130
Ir 0.228 0.750 0.456
Ir 0.772 0.250 0.544

Results
ΔE_f = 20.2 kJ/mol of atoms
SG = No. 63

6.
Computed, not measured: a crystal of Cd3Ir2 relaxed with PBEsol at the SCAN level of DFT.

Cell lengths 2.880, 2.880, 11.853 Å; angles 83.02, 83.02, 60.00 degrees
Fractional coordinates of all 5 atoms:
Cd 0.000 0.000 0.000
Cd 0.204 0.204 0.387
Cd 0.796 0.796 0.613
Ir 0.398 0.398 0.807
Ir 0.602 0.602 0.193

Results
ΔE_f = 21.3 kJ/mol of atoms
SG = No. 166

7.
Computed, not measured: a crystal of Cd5Ir relaxed with PBEsol at the SCAN level of DFT.

Cell lengths 5.439, 5.439, 5.439 Å; angles 60.00, 60.00, 60.00 degrees
Fractional coordinates of all 6 atoms:
Cd 0.625 0.124 0.625
Cd 0.250 0.250 0.250
Cd 0.625 0.625 0.625
Cd 0.625 0.625 0.124
Cd 0.124 0.625 0.625
Ir 0.000 0.000 0.000

Results
ΔE_f = 35.2 kJ/mol of atoms
SG = No. 216

8.
Computed, not measured: a crystal of Cd3Ir relaxed with PBEsol at the SCAN level of DFT.

Cell lengths 3.017, 3.017, 8.073 Å; angles 90.00, 90.00, 90.00 degrees
Fractional coordinates of all 4 atoms:
Ir 0.500 0.500 0.500
Cd 0.000 0.000 0.722
Cd 0.000 0.000 0.278
Cd 0.500 0.500 0.000

Results
ΔE_f = 15.0 kJ/mol of atoms
SG = No. 123